Arrangement a

A geometry-optimized ReSn2Br structure. Source: the Alexandria database, functional PBE.

Values from the calculation:
Total magnetic moment in μB/cell: 10.3

Unit cell a=7.1711 b=7.1711 c=7.1711 alpha=90.00 beta=90.00 gamma=90.00
Space group Fm-3m (No. 225)
Inequivalent atoms, fractional coordinates:
Re  0.0000  0.0000  0.0000 [4 per cell]
Sn  0.2500  0.2500  0.2500 [8 per cell]
Br  0.0000  0.0000  0.5000 [4 per cell]


Arrangement b

A geometry-optimized ReSn2Br structure. Source: the Alexandria database, functional PBE.

Values from the calculation:
Total magnetic moment in μB/cell: 0.0

Unit cell a=6.4943 b=6.4943 c=12.9594 alpha=90.00 beta=90.00 gamma=90.00
Space group I-42d (No. 122)
Inequivalent atoms, fractional coordinates:
Re  0.0000  0.0000  0.0000 [4 per cell]
Sn  0.1770  0.2500  0.1250 [8 per cell]
Br  0.0000  0.0000  0.5000 [4 per cell]


arrangement b wins, 20.9 kJ/mol of atoms ahead of the next structure.


Arrangement a

A geometry-optimized SrRe2Br structure. Source: the Alexandria database, functional PBE.

Values from the calculation:
Total magnetic moment in μB/cell: 0.0

Unit cell a=3.0744 b=4.9836 c=10.0804 alpha=90.00 beta=90.00 gamma=90.00
Space group Cmmm (No. 65)
Inequivalent atoms, fractional coordinates:
Sr  0.0000  0.0000  0.0000 [2 per cell]
Re  0.0000  0.5000  0.2690 [4 per cell]
Br  0.0000  0.0000  0.5000 [2 per cell]


Arrangement b

A geometry-optimized SrRe2Br structure. Source: the Alexandria database, functional PBE.

Values from the calculation:
Total magnetic moment in μB/cell: 0.0

Unit cell a=3.5571 b=6.1741 c=4.7280 alpha=90.00 beta=90.89 gamma=90.00
Space group P2/m (No. 10)
Inequivalent atoms, fractional coordinates:
Sr  0.0000  0.0000  0.0000 [1 per cell]
Re  0.2539  0.5000  0.1619 [2 per cell]
Br  0.5000  0.0000  0.5000 [1 per cell]


Arrangement c

A geometry-optimized SrRe2Br structure. Source: the Alexandria database, functional PBE.

Values from the calculation:
Total magnetic moment in μB/cell: 0.0

Unit cell a=3.2140 b=4.3782 c=12.4609 alpha=90.00 beta=90.00 gamma=90.00
Space group Immm (No. 71)
Inequivalent atoms, fractional coordinates:
Sr  0.0000  0.0000  0.0000 [2 per cell]
Re  0.0000  0.5000  0.2415 [4 per cell]
Br  0.0000  0.0000  0.5000 [2 per cell]


arrangement b wins, 18.5 kJ/mol of atoms ahead of the next structure.


Arrangement a

A geometry-optimized SrRe2Br structure. Source: the Alexandria database, functional PBE.

Values from the calculation:
Total magnetic moment in μB/cell: 0.0

Unit cell a=5.3385 b=11.4513 c=2.7749 alpha=90.00 beta=90.00 gamma=90.00
Space group Cmmm (No. 65)
Inequivalent atoms, fractional coordinates:
Sr  0.0000  0.0000  0.0000 [2 per cell]
Re  0.2500  0.2500  0.5000 [4 per cell]
Br  0.0000  0.5000  0.0000 [2 per cell]


Arrangement b

A geometry-optimized SrRe2Br structure. Source: the Alexandria database, functional PBE.

Values from the calculation:
Total magnetic moment in μB/cell: 0.0

Unit cell a=3.6153 b=5.8773 c=9.3923 alpha=90.00 beta=90.00 gamma=90.00
Space group Imm2 (No. 44)
Inequivalent atoms, fractional coordinates:
Sr  0.0000  0.0000  0.0000 [2 per cell]
Re  0.0000  0.0000  0.5032 [2 per cell]
Re  0.0000  0.5000  0.1640 [2 per cell]
Br  0.0000  0.5000  0.7752 [2 per cell]


arrangement b wins, 61.1 kJ/mol of atoms ahead of the next structure.


Arrangement a

A geometry-optimized SrRe2Br structure. Source: the Alexandria database, functional PBE.

Values from the calculation:
Total magnetic moment in μB/cell: 0.7

Unit cell a=3.0733 b=5.3939 c=5.9079 alpha=90.00 beta=90.00 gamma=90.00
Space group Pmmm (No. 47)
Inequivalent atoms, fractional coordinates:
Sr  0.0000  0.0000  0.0000 [1 per cell]
Re  0.5000  0.5000  0.1863 [2 per cell]
Br  0.0000  0.0000  0.5000 [1 per cell]


Arrangement b

A geometry-optimized SrRe2Br structure. Source: the Alexandria database, functional PBE.

Values from the calculation:
Total magnetic moment in μB/cell: 0.0

Unit cell a=6.9363 b=3.7667 c=8.4269 alpha=90.00 beta=111.05 gamma=90.00
Space group Cm (No. 8)
Inequivalent atoms, fractional coordinates:
Sr  0.0000  0.0000  0.0000 [2 per cell]
Re  0.0362  0.5000  0.4128 [2 per cell]
Re  0.3125  0.5000  0.2926 [2 per cell]
Br  0.1989  0.0000  0.7209 [2 per cell]


arrangement b wins, 83.4 kJ/mol of atoms ahead of the next structure.


Arrangement a

A geometry-optimized TaRe2Br structure. Source: the Alexandria database, functional PBE.

Values from the calculation:
Total magnetic moment in μB/cell: 0.0

Unit cell a=3.8971 b=3.8971 c=8.7441 alpha=90.00 beta=90.00 gamma=90.00
Space group I-4m2 (No. 119)
Inequivalent atoms, fractional coordinates:
Ta  0.0000  0.0000  0.0000 [2 per cell]
Re  0.0000  0.0000  0.5000 [2 per cell]
Re  0.0000  0.5000  0.2500 [2 per cell]
Br  0.0000  0.5000  0.7500 [2 per cell]


Arrangement b

A geometry-optimized TaRe2Br structure. Source: the Alexandria database, functional PBE.

Values from the calculation:
Total magnetic moment in μB/cell: 0.0

Unit cell a=3.1270 b=4.8329 c=9.4458 alpha=90.00 beta=90.00 gamma=90.00
Space group Cmm2 (No. 35)
Inequivalent atoms, fractional coordinates:
Ta  0.0000  0.0000  0.0000 [2 per cell]
Re  0.0000  0.0000  0.4548 [2 per cell]
Re  0.0000  0.5000  0.2390 [2 per cell]
Br  0.0000  0.5000  0.7653 [2 per cell]


arrangement b wins, 47.4 kJ/mol of atoms ahead of the next structure.


Arrangement a

A geometry-optimized TaReBr2 structure. Source: the Alexandria database, functional PBE.

Values from the calculation:
Total magnetic moment in μB/cell: 0.0

Unit cell a=4.3366 b=4.3366 c=7.9059 alpha=90.00 beta=90.00 gamma=90.00
Space group I-4m2 (No. 119)
Inequivalent atoms, fractional coordinates:
Ta  0.0000  0.0000  0.0000 [2 per cell]
Re  0.0000  0.5000  0.2500 [2 per cell]
Br  0.0000  0.0000  0.5000 [2 per cell]
Br  0.0000  0.5000  0.7500 [2 per cell]


Arrangement b

A geometry-optimized TaReBr2 structure. Source: the Alexandria database, functional PBE.

Values from the calculation:
Total magnetic moment in μB/cell: 0.8

Unit cell a=2.9627 b=4.6429 c=5.5319 alpha=90.00 beta=90.00 gamma=90.00
Space group Pmmm (No. 47)
Inequivalent atoms, fractional coordinates:
Ta  0.0000  0.0000  0.0000 [1 per cell]
Re  0.5000  0.0000  0.5000 [1 per cell]
Br  0.0000  0.5000  0.5000 [1 per cell]
Br  0.5000  0.5000  0.0000 [1 per cell]


arrangement b wins, 9.2 kJ/mol of atoms ahead of the next structure.